# 1
VASP calculation (PBE) on a geometry-optimized CrAs4C2 structure.

Lattice parameters (Å, degrees): 6.4292 6.4292 6.4292 137.51 137.51 61.65
Element x y z (fractional)
Cr 0.0000 0.0000 0.0000
As 0.0000 0.5000 0.5000
As 0.2154 0.2154 0.0000
As 0.5000 0.0000 0.5000
As 0.7846 0.7846 0.0000
C 0.3755 0.3755 0.0000
C 0.6245 0.6245 0.0000

Summary:
* DFT formation energy: 9.2 eV/f.u.
* crystal system: tetragonal
* E: -37.44 eV for the cell shown
* DOS at the Fermi energy: 3.7 states/eV/f.u.

---

# 2
VASP calculation (PBE) on a geometry-optimized Cr2GaAsC structure.

Lattice parameters (Å, degrees): 4.6207 4.6207 3.5297 90.00 90.00 90.00
Element x y z (fractional)
Cr 0.0000 0.5000 0.0000
Cr 0.5000 0.0000 0.0000
Ga 0.0000 0.0000 0.0000
As 0.5000 0.5000 0.5000
C 0.0000 0.0000 0.5000

Summary:
* DFT formation energy: 8.8 eV/f.u.
* crystal system: tetragonal
* E: -27.32 eV for the cell shown
* DOS at the Fermi energy: 6.7 states/eV/f.u.

---

# 3
VASP calculation (PBE) on a geometry-optimized CrAs2CI structure.

Lattice parameters (Å, degrees): 5.4825 5.4825 4.7730 90.00 90.00 90.00
Element x y z (fractional)
Cr 0.0000 0.0000 0.0000
As 0.0000 0.5000 0.5000
As 0.5000 0.0000 0.5000
C 0.5000 0.5000 0.0000
I 0.0000 0.0000 0.5000

Summary:
* crystal system: tetragonal
* E: -14.97 eV for the cell shown
* DOS at the Fermi energy: 7.1 states/eV/f.u.
* formation energy from raw total energies: 2.9461 eV per atom

---

Q: The lowest E belongs to which entry?
A: CrAs4C2

---

Q: E of number 2 (Cr2GaAsC)?
A: -27.32 eV for the cell shown

---

Q: What is the E in the third record?
A: -14.97 eV for the cell shown

---

Q: E of number 1 (CrAs4C2)?
A: -37.44 eV for the cell shown